1.
An optimized crystal structure of Be4NiPd, computed with PBE.

Cell lengths 4.2912, 4.2912, 4.2912 Å; angles 60.00, 60.00, 60.00 degrees
Last column: nearest neighbours and their distance in Å.
Sites, in units of the cell vectors:
Ni (0.0000, 0.0000, 0.0000)  12 Be 2.51, 4 Pd 2.63
Pd (0.2500, 0.2500, 0.2500)  12 Be 2.52, 4 Ni 2.63
Be (0.6256, 0.6256, 0.1232)  6 Be 2.14-2.16
Be (0.6256, 0.1232, 0.6256)  6 Be 2.14-2.16
Be (0.6256, 0.6256, 0.6256)  6 Be 2.14-2.16
Be (0.1232, 0.6256, 0.6256)  6 Be 2.14-2.16

Calculated values
As for the symmetry: F-43m. Its formation energy is -367 meV per atom. For the total energy, the calculation gives -0.3440 Ry per atom.

=====

2.
An optimized crystal structure of Sr2EuHg, computed with PBE.

Cell lengths 4.1189, 4.1189, 12.6221 Å; angles 80.61, 80.61, 60.00 degrees
Last column: nearest neighbours and their distance in Å.
Sites, in units of the cell vectors:
Eu (0.0000, 0.0000, 0.0000)  2 Sr 3.87, 6 Eu 4.12
Sr (0.1042, 0.1042, 0.6874)  3 Hg 3.32
Sr (0.8958, 0.8958, 0.3126)  3 Hg 3.32
Hg (0.5000, 0.5000, 0.5000)  6 Sr 3.32

Calculated values
As for the symmetry: R-3m. Its formation energy is -56 meV per atom. For the total energy, the calculation gives -0.2602 Ry per atom. For the polymorph energy (0 for the lowest one), the calculation gives 18.9 kJ/mol of atoms.